Below is a relaxed structure of TlSiRu2, with properties calculated at the PBE level.

It has space group Pm (No. 6), with a = 3.003 Å, b = 4.449 Å, c = 5.238 Å, α = 90.00°, β = 106.48° and γ = 90.00°. The distinct sites, in fractional coordinates, are Tl at (0.000, 0.000, 0.000), Si at (0.334, 0.500, 0.666), Ru at (0.265, 0.000, 0.526) and Ru at (0.645, 0.500, 0.284).

As for the total magnetic moment: 0.001 μB/f.u. The energy above the lowest structure with this stoichiometry comes out at 1.343 eV/f.u. Its formation energy without anion corrections is 0.310 eV per atom. For the density of states at the Fermi level, the calculation gives 5.70 states/eV per cell.